A relaxed structure of GaBiSb2I. Source: Alexandria via LeMat-Bulk, functional GGA-PBE.

Properties
Total magnetic moment = 1.038 μB/f.u.
Energy above the lowest structure with this stoichiometry = 0.83 eV per formula unit
Formation energy from raw total energies = 619 meV/atom

Cell: 5.862 5.862 6.364 Å, 90.00 90.00 90.00°
Fractional coordinates of all 5 atoms:
Ga1 0.000 0.000 0.000
Bi1 0.500 0.500 0.500
Sb1 0.000 0.500 0.500
Sb2 0.500 0.000 0.500
I1 0.500 0.500 0.000

***

A relaxed structure of GaBiSb2I. Source: Alexandria via LeMat-Bulk, functional GGA-PBE.

Properties
Total magnetic moment = 0.000 μB/f.u.
Energy above the lowest structure with this stoichiometry = 1.83 eV per formula unit
Formation energy from raw total energies = 820 meV/atom

Cell: 5.819 5.819 5.623 Å, 90.00 90.00 90.00°
Fractional coordinates of all 5 atoms:
Ga1 0.000 0.000 0.000
Bi1 0.500 0.500 0.000
Sb1 0.000 0.500 0.500
Sb2 0.500 0.000 0.500
I1 0.000 0.000 0.500

***

A relaxed structure of GaBiSb2I. Source: Alexandria via LeMat-Bulk, functional GGA-PBE.

Properties
Total magnetic moment = 0.000 μB/f.u.
Energy above the lowest structure with this stoichiometry = 0.00 eV per formula unit
Formation energy from raw total energies = 453 meV/atom

Cell: 5.444 5.444 5.378 Å, 90.00 90.00 90.00°
Fractional coordinates of all 5 atoms:
Ga1 0.000 0.000 0.000
Bi1 0.500 0.500 0.500
Sb1 0.000 0.500 0.000
Sb2 0.500 0.000 0.000
I1 0.000 0.000 0.500

***

A relaxed structure of GaBiTe2I. Source: Alexandria via LeMat-Bulk, functional GGA-PBE.

Properties
Total magnetic moment = 0.000 μB/f.u.
Energy above the lowest structure with this stoichiometry = 0.00 eV per formula unit
Formation energy from raw total energies = 229 meV/atom

Cell: 5.465 5.465 5.431 Å, 90.00 90.00 90.00°
Fractional coordinates of all 5 atoms:
Ga1 0.000 0.000 0.000
Bi1 0.500 0.500 0.500
Te1 0.000 0.500 0.000
Te2 0.500 0.000 0.000
I1 0.000 0.000 0.500

***

A relaxed structure of Ga2BiTeI. Source: Alexandria via LeMat-Bulk, functional GGA-PBE.

Properties
Total magnetic moment = 0.000 μB/f.u.
Formation energy from raw total energies = 314 meV/atom

Cell: 6.065 6.065 5.701 Å, 90.00 90.00 90.00°
Fractional coordinates of all 5 atoms:
Ga1 0.000 0.500 0.000
Ga2 0.500 0.000 0.000
Bi1 0.000 0.000 0.000
Te1 0.000 0.000 0.500
I1 0.500 0.500 0.500

***

A relaxed structure of GaBiTe2I. Source: Alexandria via LeMat-Bulk, functional GGA-PBE.

Properties
Total magnetic moment = 0.000 μB/f.u.
Energy above the lowest structure with this stoichiometry = 0.03 eV per formula unit
Formation energy from raw total energies = 236 meV/atom

Cell: 5.948 5.948 6.213 Å, 90.00 90.00 90.00°
Fractional coordinates of all 5 atoms:
Ga1 0.000 0.000 0.000
Bi1 0.500 0.500 0.500
Te1 0.000 0.500 0.500
Te2 0.500 0.000 0.500
I1 0.500 0.500 0.000

***

A relaxed structure of InGa3Bi3. Source: Alexandria via LeMat-Bulk, functional GGA-PBE.

Properties
Total magnetic moment = 0.000 μB/f.u.
E_form = 1.6 eV/f.u.

Cell: 7.934 7.934 7.934 Å, 90.00 90.00 90.00°
Fractional coordinates of all 14 atoms:
In1 0.000 0.000 0.000
In2 0.500 0.500 0.500
Ga1 0.000 0.250 0.500
Ga2 0.000 0.750 0.500
Ga3 0.250 0.500 0.000
Ga4 0.500 0.000 0.250
Ga5 0.500 0.000 0.750
Ga6 0.750 0.500 0.000
Bi1 0.000 0.500 0.250
Bi2 0.000 0.500 0.750
Bi3 0.250 0.000 0.500
Bi4 0.500 0.250 0.000
Bi5 0.500 0.750 0.000
Bi6 0.750 0.000 0.500

***

A relaxed structure of In5GaBi2. Source: Alexandria via LeMat-Bulk, functional GGA-PBE.

Properties
Total magnetic moment = 0.000 μB/f.u.
E_form = 0.3 eV/f.u.

Cell: 8.279 14.150 3.799 Å, 90.00 90.00 90.00°
Fractional coordinates of all 16 atoms:
In1 0.000 0.000 0.000
In2 0.000 0.238 0.000
In3 0.000 0.762 0.000
In4 0.228 0.378 0.500
In5 0.272 0.878 0.500
In6 0.500 0.262 0.000
In7 0.500 0.500 0.000
In8 0.500 0.738 0.000
In9 0.728 0.122 0.500
In10 0.772 0.622 0.500
Ga1 0.000 0.500 0.000
Ga2 0.500 0.000 0.000
Bi1 0.226 0.620 0.500
Bi2 0.274 0.120 0.500
Bi3 0.726 0.880 0.500
Bi4 0.774 0.380 0.500

***

A relaxed structure of In15GaBi4. Source: Alexandria via LeMat-Bulk, functional GGA-PBE.

Properties
Total magnetic moment = 0.000 μB/f.u.
E_form = 0.3 eV/f.u.

Cell: 5.042 5.042 22.279 Å, 90.00 90.00 90.00°
Fractional coordinates of all 20 atoms:
In1 0.000 0.000 0.000
In2 0.000 0.000 0.194
In3 0.000 0.000 0.397
In4 0.000 0.000 0.603
In5 0.000 0.000 0.806
In6 0.000 0.500 0.090
In7 0.000 0.500 0.293
In8 0.000 0.500 0.500
In9 0.000 0.500 0.707
In10 0.000 0.500 0.910
In11 0.500 0.000 0.090
In12 0.500 0.000 0.293
In13 0.500 0.000 0.500
In14 0.500 0.000 0.707
In15 0.500 0.000 0.910
Ga1 0.500 0.500 0.000
Bi1 0.500 0.500 0.186
Bi2 0.500 0.500 0.394
Bi3 0.500 0.500 0.606
Bi4 0.500 0.500 0.814

***

A relaxed structure of In2Ga3Bi2. Source: Alexandria via LeMat-Bulk, functional GGA-PBE.

Properties
Total magnetic moment = 0.000 μB/f.u.
E_form = 0.4 eV/f.u.

Cell: 6.628 6.628 6.513 Å, 90.28 90.28 39.85°
Fractional coordinates of all 7 atoms:
In1 0.156 0.156 0.132
In2 0.844 0.844 0.868
Ga1 0.000 0.000 0.500
Ga2 0.231 0.231 0.626
Ga3 0.769 0.769 0.374
Bi1 0.428 0.428 0.210
Bi2 0.572 0.572 0.790

***

A relaxed structure of In5Ga3Bi3. Source: Alexandria via LeMat-Bulk, functional GGA-PBE.

Properties
Total magnetic moment = 0.000 μB/f.u.
E_form = 1.4 eV/f.u.

Cell: 9.330 9.330 4.385 Å, 90.00 90.00 120.00°
Fractional coordinates of all 11 atoms:
In1 0.000 0.358 0.000
In2 0.333 0.667 0.000
In3 0.358 0.000 0.000
In4 0.642 0.642 0.000
In5 0.667 0.333 0.000
Ga1 0.000 0.833 0.000
Ga2 0.167 0.167 0.000
Ga3 0.833 0.000 0.000
Bi1 0.000 0.641 0.500
Bi2 0.359 0.359 0.500
Bi3 0.641 0.000 0.500

***

A relaxed structure of In3GaBi4. Source: Alexandria via LeMat-Bulk, functional GGA-PBE.

Properties
Total magnetic moment = 0.000 μB/f.u.
E_form = 0.6 eV/f.u.

Cell: 6.438 6.438 6.438 Å, 90.00 90.00 90.00°
Fractional coordinates of all 8 atoms:
In1 0.000 0.000 0.500
In2 0.000 0.500 0.000
In3 0.500 0.000 0.000
Ga1 0.000 0.000 0.000
Bi1 0.297 0.297 0.297
Bi2 0.297 0.703 0.703
Bi3 0.703 0.297 0.703
Bi4 0.703 0.703 0.297

***

Q: Which of these has the highest total magnetic moment?
A: number 1

***

Q: total magnetic moment of number 4 (GaBiTe2I)?
A: 0.000 μB/f.u.

***

Repeat the first record exactly.
A relaxed structure of GaBiSb2I. Source: Alexandria via LeMat-Bulk, functional GGA-PBE.

Properties
Total magnetic moment = 1.038 μB/f.u.
Energy above the lowest structure with this stoichiometry = 0.83 eV per formula unit
Formation energy from raw total energies = 619 meV/atom

Cell: 5.862 5.862 6.364 Å, 90.00 90.00 90.00°
Fractional coordinates of all 5 atoms:
Ga1 0.000 0.000 0.000
Bi1 0.500 0.500 0.500
Sb1 0.000 0.500 0.500
Sb2 0.500 0.000 0.500
I1 0.500 0.500 0.000